Entry 1:
Computed, not measured: a geometry-optimized Ca2InW structure at the PBE level of DFT.

The structure in POSCAR format:
```
Ca2InW
1.0
-2.216 2.216 4.833
2.216 -2.216 4.833
2.216 2.216 -4.833
Ca In W
2 1 1
direct
0.250 0.750 0.500
0.750 0.250 0.500
0.000 0.000 0.000
0.500 0.500 0.000
```

The calculation puts the energy of formation from the pure elements at 0.63 eV/atom. As for the space group: I4/mmm. As for the calculated total energy: -4.29 eV per atom.


Entry 2:
Computed, not measured: a geometry-optimized Ho8CoPt2 structure at the PBE level of DFT.

The structure in POSCAR format:
```
Ho8CoPt2
1.0
8.542 -2.482 0.000
8.542 2.482 0.000
-1.793 0.000 6.464
Ho Co Pt
8 1 2
direct
0.031 0.031 0.291
0.205 0.205 0.813
0.338 0.338 0.531
0.409 0.409 0.058
0.591 0.591 0.942
0.662 0.662 0.469
0.795 0.795 0.187
0.969 0.969 0.709
0.500 0.500 0.500
0.189 0.189 0.218
0.811 0.811 0.782
```

The calculation puts the energy of formation from the pure elements at -0.52 eV/atom. As for the space group: C2/m. As for the calculated total energy: -5.60 eV per atom. As for the distance to the lowest polymorph of the same formula: 0 meV per atom.


Entry 3:
Computed, not measured: a geometry-optimized Li4Ca2Mg structure at the PBE level of DFT.

The structure in POSCAR format:
```
Li4Ca2Mg
1.0
5.954 0.000 0.000
-0.284 7.629 0.000
-0.024 -2.853 8.174
Li Ca Mg
8 4 2
direct
0.011 0.310 0.461
0.247 0.064 0.595
0.257 0.893 0.839
0.466 0.684 0.523
0.534 0.316 0.477
0.743 0.107 0.161
0.753 0.936 0.405
0.989 0.690 0.539
0.250 0.824 0.200
0.254 0.307 0.112
0.746 0.693 0.888
0.750 0.176 0.800
0.239 0.473 0.788
0.761 0.527 0.212
```

The calculation puts the energy of formation from the pure elements at 0.00 eV/atom. As for the space group: P-1. As for the calculated total energy: -1.89 eV per atom.


Entry 4:
Computed, not measured: a geometry-optimized SrTeW2 structure at the PBE level of DFT.

The structure in POSCAR format:
```
SrTeW2
1.0
-1.694 2.779 5.108
1.694 -2.779 5.108
1.694 2.779 -5.108
Sr Te W
1 1 2
direct
0.000 0.000 0.000
0.284 0.784 0.500
0.524 0.524 0.000
0.701 0.201 0.500
```

As for the space group: Imm2. As for the calculated total energy: -6.90 eV per atom.


Entry 5:
Computed, not measured: a geometry-optimized TiPtBr3 structure at the PBE level of DFT.

The structure in POSCAR format:
```
TiPtBr3
1.0
5.036 0.000 0.000
0.000 5.036 0.000
0.000 0.000 5.036
Ti Pt Br
1 1 3
direct
0.000 0.000 0.000
0.500 0.500 0.500
0.000 0.000 0.500
0.000 0.500 0.000
0.500 0.000 0.000
```

As for the space group: Pm-3m. As for the calculated total energy: -3.65 eV per atom. As for the distance to the lowest polymorph of the same formula: 0 meV per atom.


Entry 6:
Computed, not measured: a geometry-optimized La2PmTlRh structure at the PBE level of DFT.

The structure in POSCAR format:
```
La2PmTlRh
1.0
5.466 0.000 0.000
0.000 5.466 0.000
0.000 0.000 5.598
La Pm Tl Rh
2 1 1 1
direct
0.000 0.500 0.000
0.500 0.000 0.000
0.000 0.000 0.500
0.500 0.500 0.500
0.000 0.000 0.000
```

The calculation puts the energy of formation from the pure elements at -0.37 eV/atom. As for the space group: P4/mmm. As for the calculated total energy: -5.23 eV per atom.


Entry 7:
Computed, not measured: a geometry-optimized NaCa2GaS4 structure at the PBE level of DFT.

The structure in POSCAR format:
```
NaCa2GaS4
1.0
-3.961 3.982 5.433
3.961 -3.982 5.433
3.961 3.982 -5.433
Na Ca Ga S
2 4 2 8
direct
0.500 0.000 0.000
0.500 0.500 0.500
0.000 0.000 0.000
0.000 0.000 0.500
0.000 0.500 0.000
0.500 0.000 0.500
0.000 0.500 0.500
0.500 0.500 0.000
0.214 0.717 0.498
0.251 0.255 0.504
0.251 0.747 0.996
0.281 0.283 0.998
0.719 0.717 0.002
0.749 0.253 0.004
0.749 0.745 0.496
0.786 0.283 0.502
```

As for the space group: Imma. As for the calculated total energy: -4.46 eV per atom.


Entry 8:
Computed, not measured: a geometry-optimized Sr3Li4Pd2 structure at the PBE level of DFT.

The structure in POSCAR format:
```
Sr3Li4Pd2
1.0
6.829 -2.161 0.000
6.829 2.161 0.000
-2.825 0.000 8.257
Sr Li Pd
3 4 2
direct
0.000 0.000 0.000
0.376 0.376 0.603
0.624 0.624 0.397
0.141 0.141 0.720
0.308 0.308 0.987
0.692 0.692 0.013
0.859 0.859 0.280
0.229 0.229 0.230
0.771 0.771 0.770
```

The calculation puts the energy of formation from the pure elements at -0.28 eV/atom. As for the space group: C2/m. As for the calculated total energy: -2.84 eV per atom.